A PBEsol-optimized structure of Sc2AlPt, computed with meta-GGA SCAN.

Cell: 3.4874 4.5207 4.5206 Å, 90.00 90.00 90.00°
Element x y z (fractional)
Al1 0.3750 0.0000 0.3754
Sc1 0.8750 0.5000 0.3748
Pt1 0.3750 0.5000 0.8745
Sc2 0.8750 0.0000 0.8752

Summary:
Calculated volume = 17.8 Å³ per atom
Final energy = -110.4 eV per formula unit